Here is a geometry-optimized Pm2ZnInS5 structure from Alexandria. Energies are from PBE.

Values from the calculation:
formation energy without anion corrections = -11.9 eV per formula unit
space-group type = Cmc2_1, No. 36
E_tot = -5.117 eV per atom

abc: 3.9101 8.5568 11.9941
angles: 90.00 90.00 103.21
Fractional positions:
1 Pm 0.8712 0.7423 0.8408
2 Pm 0.1150 0.2301 0.6894
3 Pm 0.1288 0.2577 0.3408
4 Pm 0.8850 0.7699 0.1894
5 Zn 0.5444 0.0888 0.9247
6 Zn 0.4556 0.9112 0.4247
7 In 0.8166 0.6332 0.5370
8 In 0.1834 0.3668 0.0370
9 S 0.3419 0.6837 0.0162
10 S 0.6800 0.3600 0.8562
11 S 0.4867 0.9734 0.7488
12 S 0.2910 0.5821 0.6971
13 S 0.9928 0.9856 0.5137
14 S 0.6581 0.3163 0.5162
15 S 0.3200 0.6400 0.3562
16 S 0.5133 0.0266 0.2488
17 S 0.7090 0.4179 0.1971
18 S 0.0072 0.0144 0.0137

Here is a geometry-optimized Pm2InSb structure from Alexandria. Energies are from PBE.

Values from the calculation:
formation energy without anion corrections = -2.6 eV per formula unit
excess energy over the best structure of this formula in the dataset = 0.67 eV/f.u.
space-group type = R-3m, No. 166
E_tot = -4.732 eV per atom

abc: 5.0919 5.0919 6.0816
angles: 65.25 65.25 60.00
Fractional positions:
1 Sb 0.0000 0.0000 0.0000
2 In 0.5000 0.5000 0.5000
3 Pm 0.7479 0.7479 0.7563
4 Pm 0.2521 0.2521 0.2437

Here is a geometry-optimized Pm2InSb structure from Alexandria. Energies are from PBE.

Values from the calculation:
formation energy without anion corrections = -3.2 eV per formula unit
excess energy over the best structure of this formula in the dataset = 0.00 eV/f.u.
space-group type = Cmcm, No. 63
E_tot = -4.898 eV per atom

abc: 4.4583 4.5875 12.5629
angles: 100.52 90.00 90.00
Fractional positions:
1 Pm 0.7500 0.6840 0.3681
2 Pm 0.2500 0.3160 0.6319
3 Pm 0.7500 0.9356 0.8712
4 Pm 0.2500 0.0644 0.1288
5 In 0.2500 0.4589 0.9177
6 In 0.7500 0.5411 0.0823
7 Sb 0.2500 0.1888 0.3777
8 Sb 0.7500 0.8112 0.6223

Here is a geometry-optimized Pm2InSb structure from Alexandria. Energies are from PBE.

Values from the calculation:
formation energy without anion corrections = -2.4 eV per formula unit
excess energy over the best structure of this formula in the dataset = 0.88 eV/f.u.
space-group type = Fm-3m, No. 225
E_tot = -4.679 eV per atom

abc: 5.4669 5.4669 5.4669
angles: 60.00 60.00 60.00
Fractional positions:
1 Sb 0.5000 0.5000 0.5000
2 In 0.0000 0.0000 0.0000
3 Pm 0.2500 0.2500 0.2500
4 Pm 0.7500 0.7500 0.7500

Here is a geometry-optimized Pm3InSb2 structure from Alexandria. Energies are from PBE.

Values from the calculation:
formation energy without anion corrections = -5.0 eV per formula unit
space-group type = C2/c, No. 15
E_tot = -5.040 eV per atom

abc: 6.3378 8.8430 7.8932
angles: 106.26 113.67 90.00
Fractional positions:
1 Pm 0.5007 0.2500 0.0000
2 Pm 0.4993 0.7500 0.0000
3 Pm 0.1766 0.0882 0.3529
4 Pm 0.8237 0.4118 0.6471
5 Pm 0.1763 0.5882 0.3529
6 Pm 0.8234 0.9118 0.6471
7 In 0.9992 0.7500 0.0000
8 In 0.0008 0.2500 0.0000
9 Sb 0.6641 0.5822 0.3285
10 Sb 0.6644 0.0822 0.3285
11 Sb 0.3356 0.9178 0.6715
12 Sb 0.3359 0.4178 0.6715

Here is a geometry-optimized Pm8In2Sb structure from Alexandria. Energies are from PBE.

Values from the calculation:
formation energy without anion corrections = -3.6 eV per formula unit
space-group type = C2/m, No. 12
E_tot = -4.659 eV per atom

abc: 5.2566 7.0425 10.2228
angles: 103.17 104.90 90.00
Fractional positions:
1 Pm 0.4073 0.5350 0.8145
2 Pm 0.6574 0.9842 0.3148
3 Pm 0.7882 0.6868 0.5765
4 Pm 0.9792 0.2374 0.9583
5 Pm 0.2118 0.3132 0.4235
6 Pm 0.3426 0.0158 0.6852
7 Pm 0.5927 0.4650 0.1855
8 Pm 0.0208 0.7626 0.0417
9 In 0.8171 0.2504 0.6342
10 In 0.1829 0.7496 0.3658
11 Sb 0.5000 0.0000 0.0000

Here is a geometry-optimized PmIn2Sb structure from Alexandria. Energies are from PBE.

Values from the calculation:
formation energy without anion corrections = 0.6 eV per formula unit
excess energy over the best structure of this formula in the dataset = 2.54 eV/f.u.
space-group type = R-3m, No. 166
E_tot = -3.448 eV per atom

abc: 3.5601 3.5601 11.4917
angles: 81.09 81.09 60.00
Fractional positions:
1 Sb 0.5000 0.5000 0.5000
2 In 0.0943 0.0943 0.7171
3 In 0.9057 0.9057 0.2829
4 Pm 0.0000 0.0000 0.0000

Here is a geometry-optimized Pm2InSb structure from Alexandria. Energies are from PBE.

Values from the calculation:
formation energy without anion corrections = -2.8 eV per formula unit
excess energy over the best structure of this formula in the dataset = 0.38 eV/f.u.
space-group type = P4/mmm, No. 123
E_tot = -4.802 eV per atom

abc: 4.0533 4.0533 6.9578
angles: 90.00 90.00 90.00
Fractional positions:
1 Sb 0.5000 0.5000 0.0000
2 In 0.5000 0.5000 0.5000
3 Pm 0.0000 0.0000 0.7590
4 Pm 0.0000 0.0000 0.2410